(one)
! AsP2SN PBE optimized geometry; values from VASP
! symmetry = No. 123
&SYSTEM
  ibrav = 0, nat = 5, ntyp = 4
/
ATOMIC_SPECIES
N 14.01 N.upf
As 74.92 As.upf
S 32.06 S.upf
P 30.97 P.upf
CELL_PARAMETERS angstrom
4.801 0.000 0.000
0.000 4.801 0.000
0.000 0.000 4.797
ATOMIC_POSITIONS crystal
N 0.500 0.500 0.500
As 0.000 0.000 0.000
S 0.000 0.000 0.500
P 0.000 0.500 0.000
P 0.500 0.000 0.000



(two)
! AsP2SN PBE optimized geometry; values from VASP
! symmetry = No. 123
&SYSTEM
  ibrav = 0, nat = 5, ntyp = 4
/
ATOMIC_SPECIES
N 14.01 N.upf
P 30.97 P.upf
As 74.92 As.upf
S 32.06 S.upf
CELL_PARAMETERS angstrom
4.105 0.000 0.000
0.000 4.105 0.000
0.000 0.000 4.259
ATOMIC_POSITIONS crystal
N 0.000 0.000 0.000
P 0.500 0.000 0.000
P 0.000 0.500 0.000
As 0.500 0.500 0.500
S 0.000 0.000 0.500



Which is most stable? The ranking, best first, is (two), (one).